# K2HfCl8 GGA-PBE relaxed
# * electronic total energy: -44.4 eV for the cell shown
# * energy relative to the elements, uncorrected: -1.592 eV per atom
data_K2HfCl8
_symmetry_space_group_name_H-M 'P 1'
_symmetry_Int_Tables_number 1
_cell_length_a 7.6118
_cell_length_b 8.3804
_cell_length_c 8.3804
_cell_angle_alpha 64.60
_cell_angle_beta 58.25
_cell_angle_gamma 58.25
loop_
_symmetry_equiv_pos_as_xyz
'x,y,z'
loop_
_atom_site_label
_atom_site_fract_x
_atom_site_fract_y
_atom_site_fract_z
_atom_site_occupancy
K1 0.1205 0.2657 0.2657 1
K2 0.8795 0.7343 0.7343 1
Hf1 0.0000 0.0000 0.0000 1
Cl1 0.9042 0.1088 0.7216 1
Cl2 0.0958 0.2784 0.8912 1
Cl3 0.6085 0.1881 0.1881 1
Cl4 0.3915 0.8119 0.8119 1
Cl5 0.9042 0.7216 0.1088 1
Cl6 0.0958 0.8912 0.2784 1
Cl7 0.5361 0.4170 0.4170 1
Cl8 0.4639 0.5830 0.5830 1